A relaxed Sn3RhAu crystal. Source: Alexandria, functional PBEsol.

Calculated values
- Energy of formation from the pure elements: 4.50 eV per formula unit

abc: 5.1472 5.1472 5.1472
angles: 90.00 90.00 90.00
With the nearest neighbours (Å) after each atom.
Space group Pm-3m (No. 221)
Symmetry-distinct sites (fractional):
Sn  0.0000  0.0000  0.5000  2 Au 2.57
Rh  0.5000  0.5000  0.5000  12 Sn 3.64
Au  0.0000  0.0000  0.0000  6 Sn 2.57